VASP calculation (PBE) on a relaxed structure of La2ScIn.

Unit cell a=6.1082 b=6.1082 c=6.1082 alpha=133.54 beta=133.54 gamma=67.81
Closest atoms and distances in Å follow each position.
Element x y z (fractional)
La (0.2500, 0.7500, 0.5000)  4 La 3.41, 4 Sc 3.50, 4 In 3.50
La (0.7500, 0.2500, 0.5000)  4 La 3.41, 4 Sc 3.50, 4 In 3.50
Sc (0.0000, 0.0000, 0.0000)  4 In 3.41, 8 La 3.50
In (0.5000, 0.5000, 0.0000)  4 Sc 3.41, 8 La 3.50

Calculated values
For the density of states at the Fermi level, the calculation gives 4.60 states/eV/f.u. For the magnetization, the calculation gives 0.00 μB/f.u. As for the formation energy: -0.242 eV per atom.